First-principles (PBE) data for crystalline La2PmEr at its relaxed geometry, as listed in Alexandria.

a = 5.2007 Å, b = 5.2007 Å, c = 5.1035 Å
α = 90.00°, β = 90.00°, γ = 90.00°
Fractional positions:
La 0.0000 0.5000 0.0000
La 0.5000 0.0000 0.0000
Pm 0.0000 0.0000 0.5000
Er 0.5000 0.5000 0.5000

## Properties
- energy relative to the lowest polymorph listed for this composition (kJ per mole of atoms) = 0.2



First-principles (PBE) data for crystalline La4Pm5Er2 at its relaxed geometry, as listed in Alexandria.

a = 9.1639 Å, b = 9.1639 Å, c = 11.8773 Å
α = 94.06°, β = 94.06°, γ = 22.60°
Fractional positions:
La 0.0401 0.0401 0.2629
La 0.3583 0.3583 0.2052
La 0.6417 0.6417 0.7948
La 0.9599 0.9599 0.7371
Pm 0.0966 0.0966 0.5386
Pm 0.1791 0.1791 0.0740
Pm 0.5000 0.5000 0.0000
Pm 0.8209 0.8209 0.9260
Pm 0.9034 0.9034 0.4614
Er 0.2834 0.2834 0.6371
Er 0.7166 0.7166 0.3629

## Properties
- energy relative to the lowest polymorph listed for this composition (kJ per mole of atoms) = 0.0



First-principles (PBE) data for crystalline La2Pm5Er6 at its relaxed geometry, as listed in Alexandria.

a = 11.7643 Å, b = 20.5607 Å, c = 3.6021 Å
α = 90.00°, β = 90.00°, γ = 90.00°
Fractional positions:
La 0.1719 0.2225 0.0000
La 0.3281 0.7225 0.0000
La 0.6719 0.2775 0.0000
La 0.8281 0.7775 0.0000
Pm 0.0000 0.5000 0.5000
Pm 0.0882 0.7832 0.5000
Pm 0.2014 0.0540 0.5000
Pm 0.2986 0.5540 0.5000
Pm 0.4118 0.2832 0.5000
Pm 0.5000 0.0000 0.5000
Pm 0.5882 0.7168 0.5000
Pm 0.7014 0.4460 0.5000
Pm 0.7986 0.9460 0.5000
Pm 0.9118 0.2168 0.5000
Er 0.0619 0.9257 0.0000
Er 0.0723 0.6382 0.0000
Er 0.1836 0.3765 0.5000
Er 0.3164 0.8765 0.5000
Er 0.4277 0.1382 0.0000
Er 0.4381 0.4257 0.0000
Er 0.5619 0.5743 0.0000
Er 0.5723 0.8618 0.0000
Er 0.6836 0.1235 0.5000
Er 0.8164 0.6235 0.5000
Er 0.9277 0.3618 0.0000
Er 0.9381 0.0743 0.0000



Formation energy from the elements / meV per atom: 15; 79; 96
DOS(E_F) / states/eV per cell: 5.80; 18.31; 36.45